Crystalline RuSe2Cl at its relaxed geometry, computed with PBE-GGA.

Unit cell a=3.3480 b=4.1722 c=5.2262 alpha=90.00 beta=90.00 gamma=90.00
With the nearest neighbours (Å) after each atom.
Sites, in units of the cell vectors:
Ru (0.0000, 0.0000, 0.0000)  4 Cl 2.67
Se (0.0000, 0.5000, 0.5000)  4 Se 2.67
Se (0.5000, 0.0000, 0.5000)  4 Se 2.67
Cl (0.5000, 0.5000, 0.0000)  4 Ru 2.67

## Properties
ΔE_f (raw), eV/atom: 0.74
Symmetry: Pmmm
Energy above the lowest structure with this stoichiometry, meV/atom: 925.0
E, eV/atom: -3.79
Magnetization, μB per formula unit: 0.0